# CoReAs2 (PBE, optimized geometry)
data_CoReAs2
_cell_length_a 4.319
_cell_length_b 4.319
_cell_length_c 4.319
_cell_angle_alpha 60.00
_cell_angle_beta 60.00
_cell_angle_gamma 60.00
_space_group_name_H-M_alt 'P 1'
_space_group_IT_number 1
_space_group_name_Hall 'P 1'
loop_
_atom_site_label
_atom_site_type_symbol
_atom_site_fract_x
_atom_site_fract_y
_atom_site_fract_z
Re1 Re 0.500 0.500 0.500
As1 As 0.250 0.250 0.250
As2 As 0.750 0.750 0.750
Co1 Co 0.000 0.000 0.000
# - ΔE_f: 26.78 kJ/mol of atoms
# - Density: 11515 kg/m3